6
Lattice="0.000 3.502 3.502 3.502 0.000 3.502 3.502 3.502 0.000" Properties=species:S:1:pos:R:3 comment="AgMoP4 | Alexandria via LeMat-Bulk | SCAN | PBEsol geometry" total_energy_ry_per_atom=-1.2568 space_group=F-43m formation_energy_mev_per_atom=875 n_ef_per_ev_cell=3.5 pbc="T T T"
Ag 0.000 0.000 0.000
Mo 1.751 1.751 1.751
P 4.368 2.636 2.636
P 2.636 4.368 2.636
P 2.636 2.636 4.368
P 4.368 4.368 4.368